Entry 1:
A plane-wave DFT calculation with PBE was carried out for a relaxed structure of KCdMo2.

The total energy is -4.51 eV per atom. Its formation energy is 1.41 eV/atom.

Geometry as CIF:
```
data_KCdMo2
_chemical_formula_sum 'K2 Cd2 Mo4'
_space_group_name_H-M_alt 'I 4/m m m'
_space_group_IT_number 139
_space_group_name_Hall '-I 4 2'
_cell_length_a 3.961
_cell_length_b 3.961
_cell_length_c 10.616
_cell_angle_alpha 90.00
_cell_angle_beta 90.00
_cell_angle_gamma 90.00
loop_
_atom_site_label
_atom_site_type_symbol
_atom_site_fract_x
_atom_site_fract_y
_atom_site_fract_z
_atom_site_occupancy
K1 K 0.000 0.000 0.000 1
Cd1 Cd 0.000 0.000 0.500 1
Mo1 Mo 0.000 0.500 0.250 1
```

Entry 2:
A plane-wave DFT calculation with PBE was carried out for a relaxed structure of PmErInGa.

The total energy is -4.29 eV per atom. For the offset from the most stable computed form, the calculation gives 0 meV per atom. Its formation energy is -0.52 eV/atom.

Geometry as CIF:
```
data_PmErInGa
_chemical_formula_sum 'Pm1 Er1 In1 Ga1'
_space_group_name_H-M_alt 'P 4 m m'
_space_group_IT_number 99
_cell_length_a 3.665
_cell_length_b 3.665
_cell_length_c 7.540
_cell_angle_alpha 90.00
_cell_angle_beta 90.00
_cell_angle_gamma 90.00
loop_
_space_group_symop_operation_xyz
'x,y,z'
'-y,x,z'
'-x,-y,z'
'y,-x,z'
'-x,y,z'
'y,x,z'
'x,-y,z'
'-y,-x,z'
loop_
_atom_site_label
_atom_site_type_symbol
_atom_site_fract_x
_atom_site_fract_y
_atom_site_fract_z
_atom_site_occupancy
Pm1 Pm 0.000 0.000 0.000 1
Er1 Er 0.000 0.000 0.472 1
In1 In 0.500 0.500 0.724 1
Ga1 Ga 0.500 0.500 0.250 1
```